A relaxed VCo2Au crystal. Source: the Alexandria database, functional PBE.

Output
- ΔE to the lowest computed polymorph: 0.106 eV/atom
- Symmetry: Fm-3m
- Magnetic moment: 0.000 μB per atom
- Formation energy: 0.108 eV/atom
- Total DFT energy (no corrections): -6.544 eV/atom

Cell: 4.1796 4.1796 4.1796 Å, 60.00 60.00 60.00°
Atoms (fractional coordinates):
Au1 0.5000 0.5000 0.5000
Co1 0.2500 0.2500 0.2500
Co2 0.7500 0.7500 0.7500
V1 0.0000 0.0000 0.0000

***

A relaxed VCo2Au crystal. Source: the Alexandria database, functional PBE.

Output
- ΔE to the lowest computed polymorph: 0.053 eV/atom
- Symmetry: P4/mmm
- Magnetic moment: 0.016 μB per atom
- Formation energy: 0.055 eV/atom
- Total DFT energy (no corrections): -6.597 eV/atom

Cell: 3.5400 3.8198 3.8198 Å, 90.00 90.00 90.00°
Site moments in Bohr magnetons follow the coordinates.
Atoms (fractional coordinates):
Co1 0.0000 0.0000 0.5000  0.57
Co2 0.0000 0.5000 0.0000  0.57
Au1 0.5000 0.0000 0.0000  -0.01
V1 0.5000 0.5000 0.5000  -1.06

***

A relaxed YVCo2Au crystal. Source: the Alexandria database, functional PBE.

Output
- Symmetry: P4/mmm
- Magnetic moment: 0.002 μB per atom
- Formation energy: 1.842 eV/atom
- Total DFT energy (no corrections): -4.773 eV/atom

Cell: 4.5275 4.5275 4.6619 Å, 90.00 90.00 90.00°
Atoms (fractional coordinates):
Y1 0.0000 0.0000 0.0000
Co1 0.0000 0.5000 0.0000
Co2 0.5000 0.0000 0.0000
Au1 0.5000 0.5000 0.5000
V1 0.0000 0.0000 0.5000

***

A relaxed CoWAu3 crystal. Source: the Alexandria database, functional PBE.

Output
- ΔE to the lowest computed polymorph: 0.000 eV/atom
- Symmetry: Pm-3m
- Magnetic moment: 1.148 μB per atom
- Formation energy: 1.490 eV/atom
- Total DFT energy (no corrections): -4.488 eV/atom

Cell: 4.6918 4.6918 4.6918 Å, 90.00 90.00 90.00°
Site moments in Bohr magnetons follow the coordinates.
Atoms (fractional coordinates):
Co1 0.0000 0.0000 0.0000  1.81
Au1 0.0000 0.5000 0.0000  0.07
Au2 0.0000 0.0000 0.5000  0.09
Au3 0.5000 0.0000 0.0000  0.07
W1 0.5000 0.5000 0.5000  2.80